CuIr2Pb after structural relaxation. Source: Alexandria via LeMat-Bulk, functional GGA-PBEsol.

The structure in POSCAR format:
```
CuIr2Pb
1.0
-1.4419 2.3480 4.6363
1.4419 -2.3480 4.6363
1.4419 2.3480 -4.6363
Cu Ir Pb
1 2 1
Direct
0.0000 0.0000 0.0000 Cu
0.2307 0.7307 0.5000 Ir
0.7693 0.2693 0.5000 Ir
0.5000 0.5000 0.0000 Pb
```

## Properties
The raw total energy comes out at -6.5363 eV/atom. Its mass density is 17.3 Mg/m³. The calculation puts the formation energy at 0.4586 eV per atom.